VASP calculation (meta-GGA SCAN) on a PBEsol-optimized structure of ZnIr2Rh.

Cell and atoms, written as extended XYZ:
```
4
Lattice="4.433 -1.358 0.000 4.433 1.358 0.000 -0.780 0.000 4.562" Properties=species:S:1:pos:R:3 pbc="T T T"
Zn 0.000 0.000 0.000
Ir 1.612 0.000 3.306
Ir 4.042 0.000 2.283
Rh 6.493 0.000 1.056
```

Properties
Energy relative to the elements   -0.127 eV per atom
Total magnetic moment   0.00 μB/atom
Theoretical density   16.7 g cm⁻³
Electronic total energy   -190.0 eV/cell
Crystal system   monoclinic

VASP calculation (meta-GGA SCAN) on a PBEsol-optimized structure of ZrZn2Cd.

Cell and atoms, written as extended XYZ:
```
4
Lattice="3.048 0.000 0.000 0.000 3.048 0.000 0.000 0.000 7.476" Properties=species:S:1:pos:R:3 pbc="T T T"
Zr 0.000 0.000 0.000
Zn 1.524 1.524 1.906
Zn 1.524 1.524 5.570
Cd 0.000 0.000 3.738
```

Properties
Energy relative to the elements   -0.185 eV per atom
Total magnetic moment   0.00 μB/atom
Theoretical density   8.0 g cm⁻³
Electronic total energy   -88.9 eV/cell
Crystal system   tetragonal

VASP calculation (meta-GGA SCAN) on a PBEsol-optimized structure of BeAl2Cu.

Cell and atoms, written as extended XYZ:
```
4
Lattice="4.073 0.000 0.000 0.000 4.073 0.000 0.000 0.000 3.050" Properties=species:S:1:pos:R:3 pbc="T T T"
Be 0.000 0.000 0.000
Al 0.000 2.036 1.525
Al 2.036 0.000 1.525
Cu 2.036 2.036 0.000
```

Properties
Energy relative to the elements   0.045 eV per atom
Total magnetic moment   0.00 μB/atom
Theoretical density   4.2 g cm⁻³
Electronic total energy   -34.9 eV/cell
Crystal system   tetragonal

VASP calculation (meta-GGA SCAN) on a PBEsol-optimized structure of AlFeCu2.

Cell and atoms, written as extended XYZ:
```
4
Lattice="4.216 -1.307 0.000 4.216 1.307 0.000 -0.977 0.000 4.303" Properties=species:S:1:pos:R:3 pbc="T T T"
Al 0.000 0.000 0.000
Fe 6.080 0.000 1.015
Cu 1.415 0.000 3.151
Cu 3.741 0.000 2.144
```

Properties
Energy relative to the elements   -0.106 eV per atom
Total magnetic moment   0.62 μB/atom
Theoretical density   7.3 g cm⁻³
Electronic total energy   -56.7 eV/cell
Crystal system   monoclinic

VASP calculation (meta-GGA SCAN) on a PBEsol-optimized structure of K2SnOsSe.

Cell and atoms, written as extended XYZ:
```
5
Lattice="5.790 0.000 0.000 0.000 5.790 0.000 0.000 0.000 5.024" Properties=species:S:1:pos:R:3 pbc="T T T"
K 0.000 2.895 0.000
K 2.895 0.000 0.000
Sn 0.000 0.000 2.512
Os 0.000 0.000 0.000
Se 2.895 2.895 2.512
```

Properties
Formation energy from raw total energies   0.601 eV per atom
Total magnetic moment   0.37 μB/atom
Theoretical density   4.6 g cm⁻³
Electronic total energy   -141.5 eV/cell
Crystal system   tetragonal

VASP calculation (meta-GGA SCAN) on a PBEsol-optimized structure of BaPdF2.

Cell and atoms, written as extended XYZ:
```
8
Lattice="-2.234 2.234 7.623 2.234 -2.234 7.623 2.234 2.234 -7.623" Properties=species:S:1:pos:R:3 pbc="T T T"
Ba 0.000 0.000 0.000
Ba 0.000 2.234 3.811
Pd 2.234 0.000 3.811
Pd 0.000 0.000 7.623
F 1.117 -0.913 5.717
F 1.321 1.117 1.906
F 1.117 3.146 -1.906
F 0.913 1.117 9.528
```

Properties
Formation energy from raw total energies   -2.170 eV per atom
Total magnetic moment   0.00 μB/atom
Theoretical density   6.2 g cm⁻³
Electronic total energy   -176.2 eV/cell
Crystal system   tetragonal